Entry A
# NaGaSe2O6 | Alexandria via LeMat-Bulk | PBE | optimized geometry
data_NaGaSe2O6
_chemical_formula_sum 'Na3 Ga3 Se6 O18'
_cell_length_a 5.1584
_cell_length_b 5.1584
_cell_length_c 17.3929
_cell_angle_alpha 90.00
_cell_angle_beta 90.00
_cell_angle_gamma 120.00
_space_group_name_H-M_alt 'R -3'
_space_group_IT_number 148
_space_group_name_Hall '-R 3'
loop_
_atom_site_label
_atom_site_fract_x
_atom_site_fract_y
_atom_site_fract_z
Na1 0.0000 0.0000 0.0000
Ga1 0.0000 0.0000 0.5000
Se1 0.0000 0.0000 0.2706
O1 0.0025 0.6317 0.9013
# - DOS(E_F): 0.00 states/eV per cell


Entry B
# NaGaSe2O6 | Alexandria via LeMat-Bulk | PBE | optimized geometry
data_NaGaSe2O6
_chemical_formula_sum 'Na4 Ga4 Se8 O24'
_cell_length_a 12.655
_cell_length_b 5.405
_cell_length_c 8.021
_cell_angle_alpha 90.00
_cell_angle_beta 90.00
_cell_angle_gamma 90.00
_space_group_name_H-M_alt 'P n m a'
_space_group_IT_number 62
_space_group_name_Hall '-P 2ac 2n'
loop_
_atom_site_label
_atom_site_fract_x
_atom_site_fract_y
_atom_site_fract_z
Na1 0.110 0.250 0.015
Ga1 0.104 0.750 0.699
Se1 0.065 0.750 0.291
Se2 0.207 0.250 0.492
O1 0.004 0.006 0.798
O2 0.020 0.750 0.493
O3 0.162 0.750 0.931
O4 0.215 0.501 0.626
# - DOS(E_F): 0.00 states/eV per cell


Among the structures above, stability is smallest for entry A.